Entry 1:
The following is a DFT calculation (GGA-PBE) of a relaxed structure of Li3Ta2Al3O12.

Values from the calculation:
uncorrected energy: -141.7 eV per formula unit
mass density: 5.73 Mg/m³
magnetic moment: 0.100 μB per atom
space-group type: No. 230

Cell lengths 9.960, 9.960, 9.960 Å; angles 109.47, 109.47, 109.47 degrees
Site moments in Bohr magnetons follow the coordinates.
Atoms (fractional coordinates):
Al  0.375  0.250  0.125  -0.01
Al  0.250  0.875  0.125  -0.01
Al  0.375  0.625  0.250  -0.01
Al  0.875  0.125  0.250  -0.01
Al  0.750  0.625  0.375  -0.01
Al  0.125  0.750  0.375  -0.01
Al  0.250  0.375  0.625  -0.01
Al  0.875  0.250  0.625  -0.01
Al  0.125  0.875  0.750  -0.01
Al  0.625  0.375  0.750  -0.01
Al  0.750  0.125  0.875  -0.01
Al  0.625  0.750  0.875  -0.01
Li  0.875  0.750  0.125  0.01
Li  0.750  0.375  0.125  0.01
Li  0.125  0.375  0.250  0.01
Li  0.625  0.875  0.250  0.01
Li  0.250  0.125  0.375  0.01
Li  0.625  0.250  0.375  0.01
Li  0.375  0.750  0.625  0.01
Li  0.750  0.875  0.625  0.01
Li  0.375  0.125  0.750  0.01
Li  0.875  0.625  0.750  0.01
Li  0.250  0.625  0.875  0.01
Li  0.125  0.250  0.875  0.01
O  0.319  0.426  0.049  0.16
O  0.230  0.623  0.049  0.14
O  0.623  0.894  0.074  0.15
O  0.951  0.181  0.074  0.13
O  0.730  0.181  0.106  0.13
O  0.877  0.926  0.106  0.16
O  0.049  0.730  0.123  0.13
O  0.574  0.394  0.123  0.17
O  0.451  0.074  0.181  0.15
O  0.230  0.106  0.181  0.14
O  0.123  0.549  0.230  0.15
O  0.606  0.681  0.230  0.16
O  0.319  0.394  0.270  0.16
O  0.451  0.877  0.270  0.15
O  0.926  0.549  0.319  0.17
O  0.894  0.770  0.319  0.15
O  0.270  0.951  0.377  0.13
O  0.606  0.426  0.377  0.16
O  0.074  0.123  0.394  0.17
O  0.819  0.270  0.394  0.14
O  0.106  0.377  0.426  0.15
O  0.819  0.049  0.426  0.14
O  0.574  0.681  0.451  0.17
O  0.377  0.770  0.451  0.14
O  0.426  0.319  0.549  0.17
O  0.623  0.230  0.549  0.14
O  0.181  0.951  0.574  0.14
O  0.894  0.623  0.574  0.15
O  0.926  0.877  0.606  0.17
O  0.181  0.730  0.606  0.14
O  0.394  0.574  0.623  0.16
O  0.730  0.049  0.623  0.13
O  0.106  0.230  0.681  0.15
O  0.074  0.451  0.681  0.17
O  0.681  0.606  0.730  0.16
O  0.549  0.123  0.730  0.15
O  0.877  0.451  0.770  0.15
O  0.394  0.319  0.770  0.16
O  0.549  0.926  0.819  0.15
O  0.770  0.894  0.819  0.14
O  0.426  0.606  0.877  0.17
O  0.951  0.270  0.877  0.13
O  0.270  0.819  0.894  0.13
O  0.123  0.074  0.894  0.16
O  0.377  0.106  0.926  0.15
O  0.049  0.819  0.926  0.13
O  0.770  0.377  0.951  0.14
O  0.681  0.574  0.951  0.16
Ta  0.000  0.000  0.000  -0.03
Ta  0.000  0.500  0.000  -0.04
Ta  0.500  0.500  0.000  -0.03
Ta  0.500  0.000  0.000  -0.04
Ta  0.000  0.000  0.500  -0.03
Ta  0.500  0.500  0.500  -0.03
Ta  0.000  0.500  0.500  -0.03
Ta  0.500  0.000  0.500  -0.04

***

Entry 2:
The following is a DFT calculation (GGA-PBE) of a relaxed structure of LiAlOs2.

Values from the calculation:
uncorrected energy: -28.6 eV per formula unit
mass density: 12.76 Mg/m³
magnetic moment: 0.001 μB per atom
space-group type: No. 216

Cell lengths 4.241, 4.241, 4.241 Å; angles 60.00, 60.00, 60.00 degrees
Atoms (fractional coordinates):
Al  0.500  0.500  0.500
Li  0.250  0.250  0.250
Os  0.000  0.000  0.000
Os  0.750  0.750  0.750

***

Entry 3:
The following is a DFT calculation (GGA-PBE) of a relaxed structure of Li2Ta2AlSiOs2.

Values from the calculation:
uncorrected energy: -62.5 eV per formula unit
mass density: 11.80 Mg/m³
magnetic moment: 0.001 μB per atom
space-group type: No. 115

Cell lengths 4.322, 4.322, 6.112 Å; angles 90.00, 90.00, 90.00 degrees
Atoms (fractional coordinates):
Al  0.000  0.000  0.000
Li  0.500  0.000  0.251
Li  0.000  0.500  0.749
Os  0.000  0.500  0.255
Os  0.500  0.000  0.745
Si  0.500  0.500  0.500
Ta  0.500  0.500  0.000
Ta  0.000  0.000  0.500

***

Entry 4:
The following is a DFT calculation (GGA-PBE) of a relaxed structure of Li2Ta2AlSnOs2.

Values from the calculation:
uncorrected energy: -60.3 eV per formula unit
mass density: 12.22 Mg/m³
magnetic moment: 0.000 μB per atom
space-group type: No. 115

Cell lengths 4.419, 4.419, 6.277 Å; angles 90.00, 90.00, 90.00 degrees
Atoms (fractional coordinates):
Al  0.000  0.000  0.000
Li  0.500  0.000  0.239
Li  0.000  0.500  0.761
Os  0.000  0.500  0.242
Os  0.500  0.000  0.758
Sn  0.500  0.500  0.500
Ta  0.500  0.500  0.000
Ta  0.000  0.000  0.500

***

Entry 5:
The following is a DFT calculation (GGA-PBE) of a relaxed structure of Li2TaAl2Os2W.

Values from the calculation:
uncorrected energy: -61.3 eV per formula unit
mass density: 11.80 Mg/m³
magnetic moment: 0.001 μB per atom
space-group type: No. 115

Cell lengths 4.325, 4.325, 6.115 Å; angles 90.00, 90.00, 90.00 degrees
Atoms (fractional coordinates):
Al  0.500  0.500  0.000
Al  0.000  0.000  0.500
Li  0.500  0.000  0.251
Li  0.000  0.500  0.749
Os  0.000  0.500  0.258
Os  0.500  0.000  0.742
Ta  0.000  0.000  0.000
W  0.500  0.500  0.500

***

Entry 6:
The following is a DFT calculation (GGA-PBE) of a relaxed structure of LiAlTeOs.

Values from the calculation:
uncorrected energy: -18.6 eV per formula unit
mass density: 8.87 Mg/m³
polymorph energy (0 for the lowest one): 1.52 eV per formula unit
magnetic moment: 0.002 μB per atom
space-group type: No. 216

Cell lengths 4.533, 4.533, 4.533 Å; angles 60.00, 60.00, 60.00 degrees
Atoms (fractional coordinates):
Al  0.250  0.250  0.250
Li  0.750  0.750  0.750
Os  0.000  0.000  0.000
Te  0.500  0.500  0.500

***

Entry 7:
The following is a DFT calculation (GGA-PBE) of a relaxed structure of LiAlTeOs.

Values from the calculation:
uncorrected energy: -20.1 eV per formula unit
mass density: 9.10 Mg/m³
polymorph energy (0 for the lowest one): 0.00 eV per formula unit
magnetic moment: 0.000 μB per atom
space-group type: No. 216

Cell lengths 4.495, 4.495, 4.495 Å; angles 60.00, 60.00, 60.00 degrees
Atoms (fractional coordinates):
Al  0.000  0.000  0.000
Li  0.750  0.750  0.750
Os  0.250  0.250  0.250
Te  0.500  0.500  0.500

***

Entry 8:
The following is a DFT calculation (GGA-PBE) of a relaxed structure of LiAlOsW.

Values from the calculation:
uncorrected energy: -28.2 eV per formula unit
mass density: 12.30 Mg/m³
polymorph energy (0 for the lowest one): 2.75 eV per formula unit
magnetic moment: 0.180 μB per atom
space-group type: No. 216

Cell lengths 4.271, 4.271, 4.271 Å; angles 60.00, 60.00, 60.00 degrees
Atoms (fractional coordinates):
Al  0.250  0.250  0.250
Li  0.750  0.750  0.750
Os  0.000  0.000  0.000
W  0.500  0.500  0.500

***

Entry 9:
The following is a DFT calculation (GGA-PBE) of a relaxed structure of LiAlOsW.

Values from the calculation:
uncorrected energy: -31.0 eV per formula unit
mass density: 12.13 Mg/m³
polymorph energy (0 for the lowest one): 0.00 eV per formula unit
magnetic moment: 0.000 μB per atom
space-group type: No. 216

Cell lengths 4.290, 4.290, 6.067 Å; angles 90.00, 90.00, 90.00 degrees
Atoms (fractional coordinates):
Al  0.000  0.000  0.000
Al  0.500  0.500  0.500
Li  0.000  0.500  0.250
Li  0.500  0.000  0.750
Os  0.500  0.000  0.250
Os  0.000  0.500  0.750
W  0.500  0.500  0.000
W  0.000  0.000  0.500

***

Entry 10:
The following is a DFT calculation (GGA-PBE) of a relaxed structure of LiAlOsW.

Values from the calculation:
uncorrected energy: -31.0 eV per formula unit
mass density: 12.13 Mg/m³
polymorph energy (0 for the lowest one): 0.00 eV per formula unit
magnetic moment: 0.000 μB per atom
space-group type: No. 216

Cell lengths 4.290, 4.290, 4.290 Å; angles 60.00, 60.00, 60.00 degrees
Atoms (fractional coordinates):
Al  0.250  0.250  0.250
Li  0.000  0.000  0.000
Os  0.500  0.500  0.500
W  0.750  0.750  0.750

***

Entry 11:
The following is a DFT calculation (GGA-PBE) of a relaxed structure of LiPaAl.

Values from the calculation:
uncorrected energy: -13.7 eV per formula unit
mass density: 6.83 Mg/m³
polymorph energy (0 for the lowest one): 0.00 eV per formula unit
magnetic moment: 0.154 μB per atom
space-group type: No. 216

Cell lengths 4.500, 4.500, 4.500 Å; angles 60.00, 60.00, 60.00 degrees
Site moments in Bohr magnetons follow the coordinates.
Atoms (fractional coordinates):
Al  0.250  0.250  0.250  -0.01
Li  0.000  0.000  0.000  0.01
Pa  0.750  0.750  0.750  0.38

***

Entry 12:
The following is a DFT calculation (GGA-PBE) of a relaxed structure of Li4AlPd2Pb.

Values from the calculation:
uncorrected energy: -29.3 eV per formula unit
mass density: 6.38 Mg/m³
space-group type: No. 115

Cell lengths 4.410, 4.410, 6.352 Å; angles 90.00, 90.00, 90.00 degrees
Atoms (fractional coordinates):
Al  0.000  0.000  0.500
Li  0.000  0.000  0.000
Li  0.000  0.500  0.268
Li  0.500  0.500  0.500
Li  0.500  0.000  0.732
Pb  0.500  0.500  0.000
Pd  0.500  0.000  0.280
Pd  0.000  0.500  0.720